# SiOs2Ru

An optimized crystal structure of SiOs2Ru (GGA-PBEsol, Alexandria via LeMat-Bulk).

Properties
The value obtained for the theoretical density is 15778 kg/m3. The calculation puts the energy at -9.9751 eV per atom.

Geometry as CIF:
```
data_SiOs2Ru
_cell_length_a 2.7254
_cell_length_b 4.5370
_cell_length_c 4.5370
_cell_angle_alpha 107.05
_cell_angle_beta 90.00
_cell_angle_gamma 90.00
_symmetry_space_group_name_H-M 'P 1'
_symmetry_Int_Tables_number 1
loop_
_symmetry_equiv_pos_as_xyz
'x,y,z'
loop_
_atom_site_label
_atom_site_fract_x
_atom_site_fract_y
_atom_site_fract_z
Ru1 0.5000 0.0000 0.0000
Si1 0.5000 0.5000 0.5000
Os1 0.0000 0.5000 0.0000
Os2 0.0000 0.0000 0.5000
```